ScAgHgAu: relaxed, GGA-PBE.

Properties
E = -3.56 eV/atom
Magnetic moment = 0.00 μB/f.u.
Formation energy = -0.374 eV per atom
DOS at the Fermi energy = 3.57 states/eV per cell
Relative energy among the computed polymorphs = 0.015 eV per formula unit

abc: 4.798 4.798 4.798
angles: 60.00 60.00 60.00
Fractional coordinates of all 4 atoms:
Sc (0.000, 0.000, 0.000)
Ag (0.500, 0.500, 0.500)
Hg (0.250, 0.250, 0.250)
Au (0.750, 0.750, 0.750)